# PBE SrY2Cl, optimized geometry
# Total energy in eV per atom: -4.715
# DOS at the Fermi energy in states/eV/cell: 4.47
# Space group: Cmm2 (35)
data_SrY2Cl
_cell_length_a 3.692
_cell_length_b 3.692
_cell_length_c 10.327
_cell_angle_alpha 90.00
_cell_angle_beta 90.00
_cell_angle_gamma 113.31
_space_group_name_H-M_alt 'P 1'
_space_group_IT_number 1
loop_
_space_group_symop_operation_xyz
'x,y,z'
loop_
_atom_site_label
_atom_site_type_symbol
_atom_site_fract_x
_atom_site_fract_y
_atom_site_fract_z
_atom_site_occupancy
Y1 Y 0.500 0.500 0.275 1
Cl1 Cl 0.000 0.000 0.489 1
Y2 Y 0.000 0.000 0.018 1
Sr1 Sr 0.500 0.500 0.718 1

***

# PBE SrY2Cl, optimized geometry
# Total energy in eV per atom: -4.621
# DOS at the Fermi energy in states/eV/cell: 3.43
# Space group: Immm (71)
data_SrY2Cl
_cell_length_a 7.091
_cell_length_b 7.091
_cell_length_c 5.719
_cell_angle_alpha 66.19
_cell_angle_beta 66.19
_cell_angle_gamma 28.62
_space_group_name_H-M_alt 'P 1'
_space_group_IT_number 1
loop_
_space_group_symop_operation_xyz
'x,y,z'
loop_
_atom_site_label
_atom_site_type_symbol
_atom_site_fract_x
_atom_site_fract_y
_atom_site_fract_z
_atom_site_occupancy
Y1 Y 0.458 0.458 0.542 1
Y2 Y 0.042 0.042 0.958 1
Sr1 Sr 0.250 0.250 0.250 1
Cl1 Cl 0.750 0.750 0.750 1

***

# PBE SrY2Cl, optimized geometry
# Total energy in eV per atom: -4.419
# DOS at the Fermi energy in states/eV/cell: 5.39
# Space group: P4/mmm (123)
data_SrY2Cl
_cell_length_a 3.513
_cell_length_b 3.513
_cell_length_c 10.145
_cell_angle_alpha 90.00
_cell_angle_beta 90.00
_cell_angle_gamma 90.00
_space_group_name_H-M_alt 'P 1'
_space_group_IT_number 1
loop_
_space_group_symop_operation_xyz
'x,y,z'
loop_
_atom_site_label
_atom_site_type_symbol
_atom_site_fract_x
_atom_site_fract_y
_atom_site_fract_z
_atom_site_occupancy
Cl1 Cl 0.500 0.500 0.250 1
Y1 Y 0.000 0.000 0.047 1
Sr1 Sr 0.500 0.500 0.750 1
Y2 Y 0.000 0.000 0.453 1

***

# PBE SrYCl, optimized geometry
# Total energy in eV per atom: -4.234
# DOS at the Fermi energy in states/eV/cell: 1.73
# Space group: P3m1 (156)
data_SrYCl
_cell_length_a 3.851
_cell_length_b 3.851
_cell_length_c 7.314
_cell_angle_alpha 90.00
_cell_angle_beta 90.00
_cell_angle_gamma 120.00
_space_group_name_H-M_alt 'P 1'
_space_group_IT_number 1
loop_
_space_group_symop_operation_xyz
'x,y,z'
loop_
_atom_site_label
_atom_site_type_symbol
_atom_site_fract_x
_atom_site_fract_y
_atom_site_fract_z
_atom_site_occupancy
Cl1 Cl 0.000 0.000 0.988 1
Y1 Y 0.333 0.667 0.711 1
Sr1 Sr 0.667 0.333 0.301 1

***

# PBE SrY2Cl, optimized geometry
# Total energy in eV per atom: -4.611
# DOS at the Fermi energy in states/eV/cell: 4.76
# Space group: R-3m (166)
data_SrY2Cl
_cell_length_a 10.696
_cell_length_b 10.696
_cell_length_c 10.696
_cell_angle_alpha 20.02
_cell_angle_beta 20.02
_cell_angle_gamma 20.02
_space_group_name_H-M_alt 'P 1'
_space_group_IT_number 1
loop_
_space_group_symop_operation_xyz
'x,y,z'
loop_
_atom_site_label
_atom_site_type_symbol
_atom_site_fract_x
_atom_site_fract_y
_atom_site_fract_z
_atom_site_occupancy
Y1 Y 0.517 0.517 0.517 1
Sr1 Sr 0.750 0.750 0.750 1
Cl1 Cl 0.250 0.250 0.250 1
Y2 Y 0.983 0.983 0.983 1

***

# PBE Sr2ZnCl2, optimized geometry
# Total energy in eV per atom: -2.841
# DOS at the Fermi energy in states/eV/cell: 4.18
# Space group: P4/mbm (127)
data_Sr2ZnCl2
_cell_length_a 8.705
_cell_length_b 8.705
_cell_length_c 3.748
_cell_angle_alpha 90.00
_cell_angle_beta 90.00
_cell_angle_gamma 90.00
_space_group_name_H-M_alt 'P 1'
_space_group_IT_number 1
loop_
_space_group_symop_operation_xyz
'x,y,z'
loop_
_atom_site_label
_atom_site_type_symbol
_atom_site_fract_x
_atom_site_fract_y
_atom_site_fract_z
_atom_site_occupancy
Cl1 Cl 0.375 0.875 0.000 1
Zn1 Zn 0.000 0.000 0.000 1
Sr1 Sr 0.317 0.183 0.500 1
Cl2 Cl 0.875 0.625 0.000 1
Zn2 Zn 0.500 0.500 0.000 1
Sr2 Sr 0.683 0.817 0.500 1
Cl3 Cl 0.125 0.375 0.000 1
Sr3 Sr 0.817 0.317 0.500 1
Cl4 Cl 0.625 0.125 0.000 1
Sr4 Sr 0.183 0.683 0.500 1

***

# PBE SrZn3Cl9, optimized geometry
# Total energy in eV per atom: -2.964
# Space group: Cc (9)
data_SrZn3Cl9
_cell_length_a 8.415
_cell_length_b 10.166
_cell_length_c 11.682
_cell_angle_alpha 77.08
_cell_angle_beta 68.89
_cell_angle_gamma 65.55
_space_group_name_H-M_alt 'P 1'
_space_group_IT_number 1
loop_
_space_group_symop_operation_xyz
'x,y,z'
loop_
_atom_site_label
_atom_site_type_symbol
_atom_site_fract_x
_atom_site_fract_y
_atom_site_fract_z
_atom_site_occupancy
Cl1 Cl 0.840 0.445 0.853 1
Cl2 Cl 0.271 0.213 0.340 1
Cl3 Cl 0.700 0.412 0.592 1
Sr1 Sr 0.049 0.480 0.980 1
Cl4 Cl 0.176 0.713 0.840 1
Cl5 Cl 0.422 0.220 0.622 1
Sr2 Sr 0.492 0.980 0.480 1
Cl6 Cl 0.930 0.285 0.182 1
Cl7 Cl 0.150 0.099 0.697 1
Cl8 Cl 0.439 0.515 0.215 1
Cl9 Cl 0.736 0.720 0.122 1
Cl10 Cl 0.358 0.792 0.422 1
Zn1 Zn 0.986 0.049 0.171 1
Cl11 Cl 0.054 0.599 0.197 1
Cl12 Cl 0.862 0.945 0.353 1
Zn2 Zn 0.430 0.743 0.230 1
Cl13 Cl 0.070 0.557 0.525 1
Cl14 Cl 0.603 0.785 0.682 1
Zn3 Zn 0.794 0.549 0.671 1
Zn4 Zn 0.190 0.448 0.349 1
Cl15 Cl 0.831 0.015 0.715 1
Zn5 Zn 0.597 0.243 0.730 1
Cl16 Cl 0.427 0.292 0.922 1
Zn6 Zn 0.013 0.948 0.849 1
Cl17 Cl 0.849 0.057 0.025 1
Cl18 Cl 0.296 0.912 0.092 1

***

# PBE SrZnCl2, optimized geometry
# Total energy in eV per atom: -3.108
# DOS at the Fermi energy in states/eV/cell: 0.00
# Space group: Imm2 (44)
data_SrZnCl2
_cell_length_a 8.709
_cell_length_b 8.709
_cell_length_c 8.709
_cell_angle_alpha 154.23
_cell_angle_beta 150.54
_cell_angle_gamma 39.54
_space_group_name_H-M_alt 'P 1'
_space_group_IT_number 1
loop_
_space_group_symop_operation_xyz
'x,y,z'
loop_
_atom_site_label
_atom_site_type_symbol
_atom_site_fract_x
_atom_site_fract_y
_atom_site_fract_z
_atom_site_occupancy
Cl1 Cl 0.989 0.989 0.000 1
Zn1 Zn 0.309 0.809 0.500 1
Cl2 Cl 0.662 0.162 0.500 1
Sr1 Sr 0.539 0.539 0.000 1

***

# PBE SrZnCl, optimized geometry
# Total energy in eV per atom: -2.311
# DOS at the Fermi energy in states/eV/cell: 2.92
# Space group: F-43m (216)
data_SrZnCl
_cell_length_a 5.222
_cell_length_b 5.222
_cell_length_c 5.222
_cell_angle_alpha 60.00
_cell_angle_beta 60.00
_cell_angle_gamma 60.00
_space_group_name_H-M_alt 'P 1'
_space_group_IT_number 1
loop_
_space_group_symop_operation_xyz
'x,y,z'
loop_
_atom_site_label
_atom_site_type_symbol
_atom_site_fract_x
_atom_site_fract_y
_atom_site_fract_z
_atom_site_occupancy
Cl1 Cl 0.500 0.500 0.500 1
Sr1 Sr 0.750 0.750 0.750 1
Zn1 Zn 0.000 0.000 0.000 1

***

# PBE SrZnCl4, optimized geometry
# Total energy in eV per atom: -2.237
# DOS at the Fermi energy in states/eV/cell: 3.13
# Space group: F-43m (216)
data_SrZnCl4
_cell_length_a 6.074
_cell_length_b 6.074
_cell_length_c 6.074
_cell_angle_alpha 60.00
_cell_angle_beta 60.00
_cell_angle_gamma 60.00
_space_group_name_H-M_alt 'P 1'
_space_group_IT_number 1
loop_
_space_group_symop_operation_xyz
'x,y,z'
loop_
_atom_site_label
_atom_site_type_symbol
_atom_site_fract_x
_atom_site_fract_y
_atom_site_fract_z
_atom_site_occupancy
Sr1 Sr 0.750 0.750 0.750 1
Cl1 Cl 0.876 0.375 0.375 1
Cl2 Cl 0.375 0.375 0.876 1
Zn1 Zn 0.000 0.000 0.000 1
Cl3 Cl 0.375 0.876 0.375 1
Cl4 Cl 0.375 0.375 0.375 1

***

# PBE SrZnCl, optimized geometry
# Total energy in eV per atom: -2.375
# DOS at the Fermi energy in states/eV/cell: 1.67
# Space group: F-43m (216)
data_SrZnCl
_cell_length_a 5.061
_cell_length_b 5.061
_cell_length_c 5.061
_cell_angle_alpha 60.00
_cell_angle_beta 60.00
_cell_angle_gamma 60.00
_space_group_name_H-M_alt 'P 1'
_space_group_IT_number 1
loop_
_space_group_symop_operation_xyz
'x,y,z'
loop_
_atom_site_label
_atom_site_type_symbol
_atom_site_fract_x
_atom_site_fract_y
_atom_site_fract_z
_atom_site_occupancy
Cl1 Cl 0.750 0.750 0.750 1
Sr1 Sr 0.000 0.000 0.000 1
Zn1 Zn 0.500 0.500 0.500 1

***

# PBE Sr2ZnCl2, optimized geometry
# Total energy in eV per atom: -2.832
# DOS at the Fermi energy in states/eV/cell: 2.02
# Space group: I4/mmm (139)
data_Sr2ZnCl2
_cell_length_a 5.800
_cell_length_b 5.800
_cell_length_c 6.217
_cell_angle_alpha 62.19
_cell_angle_beta 62.19
_cell_angle_gamma 90.00
_space_group_name_H-M_alt 'P 1'
_space_group_IT_number 1
loop_
_space_group_symop_operation_xyz
'x,y,z'
loop_
_atom_site_label
_atom_site_type_symbol
_atom_site_fract_x
_atom_site_fract_y
_atom_site_fract_z
_atom_site_occupancy
Cl1 Cl 0.323 0.323 0.354 1
Sr1 Sr 0.750 0.250 0.500 1
Sr2 Sr 0.250 0.750 0.500 1
Cl2 Cl 0.677 0.677 0.646 1
Zn1 Zn 0.000 0.000 0.000 1

***

ΔE_f (raw) for the records above, in order: -58 -49 -29 -87 -48 -113 -122 -139 -68 -50 -75 -112 kJ per mole of atoms